No. 1
A crystal of NbNi3F relaxed with PBEsol, computed with SCAN.

Cell and atoms, written as POSCAR:
```
NbNi3F
1.0
4.475 0.000 0.000
0.000 4.475 0.000
0.000 0.000 4.475
Nb Ni F
1 3 1
Cartesian
0.000 0.000 0.000
0.000 0.000 2.237
0.000 2.237 0.000
2.237 0.000 0.000
2.237 2.237 2.237
```

- formation energy (no corrections) (eV per atom) = 1.45
- total DFT energy (no corrections) (eV/cell) = -77.94
- DOS(E_F) (states/eV per atom) = 0.697
- theoretical density (Mg/m³) = 5.3
- crystal system = cubic

=====

No. 2
A crystal of HgSb2Se relaxed with PBEsol, computed with SCAN.

Cell and atoms, written as POSCAR:
```
HgSb2Se
1.0
6.107 -1.821 0.000
6.107 1.821 0.000
-0.975 0.000 4.697
Hg Sb Se
1 2 1
Cartesian
0.000 0.000 0.000
2.521 0.000 4.080
6.675 0.000 2.511
9.241 0.000 1.530
```

- formation energy (no corrections) (eV per atom) = 0.12
- total DFT energy (no corrections) (eV/cell) = -162.30
- DOS(E_F) (states/eV per atom) = 0.410
- theoretical density (Mg/m³) = 8.3
- crystal system = monoclinic

=====

No. 3
A crystal of Rb2LaCrCo relaxed with PBEsol, computed with SCAN.

Cell and atoms, written as POSCAR:
```
Rb2LaCrCo
1.0
6.987 0.000 0.000
0.000 6.987 0.000
0.000 0.000 4.395
Rb La Cr Co
2 1 1 1
Cartesian
0.000 3.493 0.000
3.493 0.000 0.000
0.000 0.000 0.000
3.493 3.493 2.198
0.000 0.000 2.198
```

- total DFT energy (no corrections) (eV/cell) = -114.88
- DOS(E_F) (states/eV per atom) = 0.587
- theoretical density (Mg/m³) = 3.3
- energy of formation (eV/atom) = 1.0781
- crystal system = tetragonal